First-principles (GGA-PBE) data for a relaxed structure of LuAl10Fe2, as listed in Alexandria via LeMat-Bulk.

Cell: 8.910 10.088 8.934 Å, 90.00 90.00 90.00°
Space group Cmcm (No. 63)
Asymmetric unit:
Lu1 0.000 0.127 0.250 x4
Al1 0.000 0.156 0.596 x8
Al2 0.000 0.374 0.049 x8
Al3 0.152 0.371 0.750 x8
Al4 0.224 0.360 0.250 x8
Al5 0.227 0.000 0.000 x8
Fe1 0.250 0.250 0.000 x8

Calculated values
The total magnetic moment comes out at 0.00 μB per cell. As for the energy of formation from the pure elements: -346 meV/atom. The total energy comes out at -4.875 eV per atom.